(1)
Below is a relaxed structure of TmScH4, with properties calculated at the PBE level.

a b c (Å): 3.466 3.466 4.887
angles (deg): 90.00 90.00 90.00
Atoms (fractional coordinates):
1 Tm 0.000 0.000 0.000
2 Sc 0.500 0.500 0.500
3 H 0.000 0.500 0.265
4 H 0.000 0.500 0.735
5 H 0.500 0.000 0.265
6 H 0.500 0.000 0.735

## Properties
As for the raw total energy: -28.363 eV/f.u. As for the space group: P4/mmm.

=====

(2)
Below is a relaxed structure of YScZnH2, with properties calculated at the PBE level.

a b c (Å): 6.273 6.273 6.273
angles (deg): 147.32 147.32 46.88
Atoms (fractional coordinates):
1 Y 0.000 0.000 0.000
2 Sc 0.705 0.705 0.000
3 Zn 0.342 0.342 0.000
4 H 0.113 0.613 0.500
5 H 0.613 0.113 0.500

## Properties
As for the raw total energy: -23.578 eV/f.u. As for the space group: I4mm.

=====

(3)
Below is a relaxed structure of ZrHSe, with properties calculated at the PBE level.

a b c (Å): 5.103 5.103 5.451
angles (deg): 103.32 103.32 40.81
Atoms (fractional coordinates):
1 Zr 0.000 0.000 0.000
2 Zr 0.639 0.639 0.547
3 H 0.166 0.166 0.355
4 H 0.580 0.580 0.162
5 Se 0.267 0.267 0.914
6 Se 0.916 0.916 0.468

## Properties
As for the raw total energy: -18.373 eV/f.u. As for the space group: Cm.

=====

(4)
Below is a relaxed structure of USiH, with properties calculated at the PBE level.

a b c (Å): 5.707 5.707 3.937
angles (deg): 90.00 90.00 138.76
Atoms (fractional coordinates):
1 U 0.151 0.849 0.750
2 U 0.849 0.151 0.250
3 Si 0.436 0.564 0.750
4 Si 0.564 0.436 0.250
5 H 0.253 0.747 0.250
6 H 0.747 0.253 0.750

## Properties
As for the raw total energy: -21.237 eV/f.u. As for the space group: Cmcm.